[1]
{
  "formula": "Cs2TeBr6F",
  "functional": "PBE",
  "state": "relaxed",
  "space_group": "I4/mmm",
  "vol_a3_per_cell": 343.46,
  "lattice_angstrom": [[-2.820, 6.867, -2.507], [-6.835, -1.524, 3.515], [-2.976, 5.136, 5.173]],
  "species": ["Br", "Br", "Br", "Br", "Br", "Br", "Cs", "Cs", "F", "Te"],
  "fractional_positions": [[0.756, 0.244, 0.000], [0.244, 0.756, 0.000], [0.756, 0.756, 0.000], [0.242, 0.242, 0.516], [0.758, 0.758, 0.484], [0.244, 0.244, 0.000], [0.250, 0.750, 0.500], [0.750, 0.250, 0.500], [0.500, 0.500, 0.000], [0.000, 0.000, 0.000]]
}

=====

[2]
{
  "formula": "Cs4TeBrF",
  "functional": "PBE",
  "state": "relaxed",
  "space_group": "P2_1/m",
  "vol_a3_per_cell": 635.93,
  "lattice_angstrom": [[7.036, 0.000, -0.786], [0.000, 8.347, 0.000], [-3.737, 0.000, 11.244]],
  "species": ["Br", "Br", "F", "F", "Cs", "Cs", "Cs", "Cs", "Cs", "Cs", "Cs", "Cs", "Te", "Te"],
  "fractional_positions": [[0.810, 0.750, 0.470], [0.190, 0.250, 0.530], [0.184, 0.750, 0.298], [0.816, 0.250, 0.702], [0.633, 0.250, 0.867], [0.625, 0.250, 0.444], [0.074, 0.511, 0.786], [0.926, 0.489, 0.214], [0.367, 0.750, 0.133], [0.926, 0.011, 0.214], [0.375, 0.750, 0.556], [0.074, 0.989, 0.786], [0.687, 0.750, 0.910], [0.313, 0.250, 0.090]]
}

=====

The mass density results, record by record, are as follows: 4.3; 4.0 g cm⁻³.
The formation energy (no corrections) results, record by record, are as follows: -1008.8; -1660.1 meV/atom.